! Ni2SbCl, optimized geometry, DFT PBE; values from VASP
! - E above lowest polymorph (meV per atom) = 479
! - E_tot (eV per atom) = -4.055
! - volume (A^3/atom) = 16.2
! - symmetry = Fm-3m
! - formation energy from raw total energies (eV per atom) = 0.3282
&SYSTEM
  ibrav = 0, nat = 4, ntyp = 3
/
ATOMIC_SPECIES
Sb 121.76 Sb.upf
Cl 35.45 Cl.upf
Ni 58.69 Ni.upf
ATOMIC_POSITIONS crystal
Sb 0.500 0.500 0.500
Cl 0.000 0.000 0.000
Ni 0.250 0.250 0.250
Ni 0.750 0.750 0.750
CELL_PARAMETERS angstrom
0.000 3.188 3.188
3.188 0.000 3.188
3.188 3.188 0.000